Entry 1:
# LiRuAu2

A relaxed LiRuAu2 crystal (GGA-PBE, the Alexandria database).

POSCAR file:
```
LiRuAu2
1.0
5.276 0.038 0.330
4.558 2.658 0.330
1.290 0.354 4.699
Au Li Ru
2 1 1
direct
0.996 0.996 0.101
0.751 0.751 0.657
0.500 0.500 0.588
0.254 0.254 0.153
```

Properties
ΔE_f, eV per atom: 0.00
Raw total energy, hartree per atom: -0.1631
Space group: Cm, No. 8
Relative energy among the computed polymorphs, meV/atom: 80
Crystal system: monoclinic
Magnetization, Bohr magnetons per cell: 0.00



Entry 2:
# LiRuAu

A relaxed LiRuAu crystal (GGA-PBE, the Alexandria database).

POSCAR file:
```
LiRuAu
1.0
-2.595 5.800 -1.953
-5.231 3.177 -2.595
3.219 -4.216 4.007
Au Li Ru
1 1 1
direct
0.996 0.996 0.000
0.333 0.333 0.000
0.671 0.671 0.000
```

Properties
ΔE_f, eV per atom: 0.16
Raw total energy, hartree per atom: -0.1714
Space group: I4mm, No. 107
Relative energy among the computed polymorphs, meV/atom: 13
Crystal system: tetragonal
Magnetization, Bohr magnetons per cell: 0.00



Entry 3:
# Li2RuAu

A relaxed Li2RuAu crystal (GGA-PBE, the Alexandria database).

POSCAR file:
```
Li2RuAu
1.0
-1.158 4.599 -0.371
-2.122 -0.657 -1.522
-2.615 -0.353 3.793
Au Li Ru
1 2 1
direct
0.500 0.875 0.676
0.000 0.876 0.067
0.500 0.374 0.182
0.000 0.375 0.574
```

Properties
ΔE_f, eV per atom: -0.02
Raw total energy, hartree per atom: -0.1512
Space group: Pmm2, No. 25
Relative energy among the computed polymorphs, meV/atom: 48
Crystal system: orthorhombic
Magnetization, Bohr magnetons per cell: 0.00



Entry 4:
# Li2RuAu

A relaxed Li2RuAu crystal (GGA-PBE, the Alexandria database).

POSCAR file:
```
Li2RuAu
1.0
4.919 -0.015 0.000
-1.760 4.594 0.000
0.000 0.000 2.591
Au Li Ru
1 2 1
direct
0.000 0.500 0.500
0.000 0.000 0.000
0.500 0.500 0.000
0.500 0.000 0.500
```

Properties
ΔE_f, eV per atom: 0.02
Raw total energy, hartree per atom: -0.1499
Space group: Cmmm, No. 65
Relative energy among the computed polymorphs, meV/atom: 83
Crystal system: orthorhombic
Magnetization, Bohr magnetons per cell: 0.00